DFT (GGA-PBEsol) results for an optimized crystal structure of ZrFeSb2I.

Results
energy relative to the elements, uncorrected: 0.853 eV per atom
theoretical density: 5.16 g cm⁻³

The structure in CIF format:
```
data_ZrFeSb2I
_chemical_formula_sum 'Zr1 Fe1 Sb2 I1'
_cell_length_a 5.5081
_cell_length_b 5.5081
_cell_length_c 5.4937
_cell_angle_alpha 90.00
_cell_angle_beta 90.00
_cell_angle_gamma 90.00
_symmetry_space_group_name_H-M 'P 1'
_symmetry_Int_Tables_number 1
loop_
_symmetry_equiv_pos_as_xyz
'x,y,z'
loop_
_atom_site_label
_atom_site_fract_x
_atom_site_fract_y
_atom_site_fract_z
I1 0.0000 0.0000 0.5000
Sb1 0.0000 0.5000 0.0000
Sb2 0.5000 0.0000 0.0000
Fe1 0.5000 0.5000 0.5000
Zr1 0.0000 0.0000 0.0000
```